Arrangement 1

This record from Alexandria via LeMat-Bulk describes crystalline YIrRh2 at its relaxed geometry. The functional is GGA-PBE.

Output
volume = 67 Å³/cell
mass density = 12.0 g cm⁻³
spin magnetization = 0.00 Bohr magnetons per cell

Lattice parameters (Å, degrees): 4.975 4.975 4.975 131.62 131.61 70.84
Positions (direct):
Ir 0.250 0.750 0.500
Rh 0.000 0.000 0.000
Rh 0.750 0.250 0.500
Y 0.500 0.500 0.000


Arrangement 2

This record from Alexandria via LeMat-Bulk describes crystalline YIrRh2 at its relaxed geometry. The functional is GGA-PBE.

Output
volume = 212 Å³/cell
mass density = 11.4 g cm⁻³
spin magnetization = 0.00 Bohr magnetons per cell

Lattice parameters (Å, degrees): 5.274 5.274 9.313 73.55 73.55 60.00
Positions (direct):
Y 0.861 0.861 0.417
Y 0.139 0.139 0.583
Y 0.000 0.000 0.000
Ir 0.667 0.667 0.998
Ir 0.333 0.333 0.002
Ir 0.500 0.500 0.500
Rh 0.418 0.418 0.247
Rh 0.917 0.418 0.247
Rh 0.418 0.917 0.247
Rh 0.582 0.582 0.753
Rh 0.582 0.083 0.753
Rh 0.083 0.582 0.753


What is the stability order? It is arrangement 2, arrangement 1, from most stable to least stable.


Arrangement 1

This record from Alexandria via LeMat-Bulk describes crystalline YIrRh2 at its relaxed geometry. The functional is GGA-PBE.

Output
volume = 151 Å³/cell
mass density = 10.7 g cm⁻³
spin magnetization = 0.00 Bohr magnetons per cell

Lattice parameters (Å, degrees): 4.042 4.042 9.649 77.91 77.91 90.00
Positions (direct):
Y 0.500 0.500 0.000
Y 0.250 0.750 0.500
Ir 0.000 0.000 0.000
Ir 0.750 0.250 0.500
Rh 0.675 0.125 0.250
Rh 0.075 0.625 0.250
Rh 0.375 0.325 0.750
Rh 0.875 0.925 0.750


Arrangement 2

This record from Alexandria via LeMat-Bulk describes crystalline YIrRh2 at its relaxed geometry. The functional is GGA-PBE.

Output
volume = 70 Å³/cell
mass density = 11.6 g cm⁻³
spin magnetization = 0.00 Bohr magnetons per cell

Lattice parameters (Å, degrees): 3.400 3.400 6.020 90.00 90.00 90.00
Positions (direct):
Ir 0.500 0.500 0.789
Rh 0.000 0.000 0.988
Rh 0.500 0.500 0.227
Y 0.000 0.000 0.496


What is the stability order? It is arrangement 2, arrangement 1, from most stable to least stable.


Arrangement 1

This record from Alexandria via LeMat-Bulk describes crystalline Y2IrRh at its relaxed geometry. The functional is GGA-PBE.

Output
volume = 87 Å³/cell
mass density = 9.1 g cm⁻³
spin magnetization = 0.00 Bohr magnetons per cell

Lattice parameters (Å, degrees): 5.660 5.660 4.193 90.00 90.00 40.16
Positions (direct):
Y 0.980 0.980 0.875
Y 0.269 0.269 0.375
Ir 0.544 0.544 0.375
Rh 0.707 0.707 0.875


Arrangement 2

This record from Alexandria via LeMat-Bulk describes crystalline Y2IrRh at its relaxed geometry. The functional is GGA-PBE.

Output
volume = 82 Å³/cell
mass density = 9.6 g cm⁻³
spin magnetization = 0.00 Bohr magnetons per cell

Lattice parameters (Å, degrees): 5.817 5.817 5.817 139.59 139.54 58.52
Positions (direct):
Ir 0.500 0.500 0.000
Rh 0.250 0.750 0.500
Y 0.000 0.000 0.000
Y 0.750 0.250 0.500


What is the stability order? It is arrangement 1, arrangement 2, from most stable to least stable.


Arrangement 1

This record from Alexandria via LeMat-Bulk describes crystalline Y2IrRh at its relaxed geometry. The functional is GGA-PBE.

Output
volume = 106 Å³/cell
mass density = 7.4 g cm⁻³
spin magnetization = 0.00 Bohr magnetons per cell

Lattice parameters (Å, degrees): 7.026 7.026 7.026 35.69 35.69 35.69
Positions (direct):
Ir 0.458 0.458 0.458
Rh 0.793 0.793 0.793
Y 0.038 0.038 0.038
Y 0.212 0.212 0.212


Arrangement 2

This record from Alexandria via LeMat-Bulk describes crystalline Y2IrRh at its relaxed geometry. The functional is GGA-PBE.

Output
volume = 81 Å³/cell
mass density = 9.7 g cm⁻³
spin magnetization = 0.00 Bohr magnetons per cell

Lattice parameters (Å, degrees): 4.919 4.919 3.354 89.99 89.99 90.20
Positions (direct):
Y 0.000 0.000 0.000
Y 0.500 0.500 0.000
Ir 0.500 0.000 0.500
Rh 0.000 0.500 0.500


What is the stability order? It is arrangement 2, arrangement 1, from most stable to least stable.


Arrangement 1

This record from Alexandria via LeMat-Bulk describes crystalline Y2IrRh at its relaxed geometry. The functional is GGA-PBE.

Output
volume = 173 Å³/cell
mass density = 9.1 g cm⁻³
spin magnetization = 0.00 Bohr magnetons per cell

Lattice parameters (Å, degrees): 7.409 7.409 6.118 52.74 52.74 90.00
Positions (direct):
Y 0.623 0.125 0.250
Y 0.127 0.625 0.250
Y 0.375 0.377 0.750
Y 0.875 0.873 0.750
Ir 0.000 0.000 0.000
Ir 0.750 0.250 0.500
Rh 0.500 0.500 0.000
Rh 0.250 0.750 0.500


Arrangement 2

This record from Alexandria via LeMat-Bulk describes crystalline Y2IrRh at its relaxed geometry. The functional is GGA-PBE.

Output
volume = 78 Å³/cell
mass density = 10.1 g cm⁻³
spin magnetization = 0.00 Bohr magnetons per cell

Lattice parameters (Å, degrees): 4.793 4.793 4.793 60.00 60.00 60.00
Positions (direct):
Ir 0.500 0.500 0.500
Rh 0.250 0.250 0.250
Y 0.000 0.000 0.000
Y 0.750 0.750 0.750


What is the stability order? It is arrangement 1, arrangement 2, from most stable to least stable.


Arrangement 1

This record from Alexandria via LeMat-Bulk describes crystalline Y2IrRh at its relaxed geometry. The functional is GGA-PBE.

Output
volume = 89 Å³/cell
mass density = 8.8 g cm⁻³
spin magnetization = 0.00 Bohr magnetons per cell

Lattice parameters (Å, degrees): 3.928 3.928 5.770 90.00 90.00 90.00
Positions (direct):
Ir 0.000 0.000 0.430
Rh 0.500 0.500 0.816
Y 0.000 0.000 0.926
Y 0.500 0.500 0.327


Arrangement 2

This record from Alexandria via LeMat-Bulk describes crystalline Y2IrRh at its relaxed geometry. The functional is GGA-PBE.

Output
volume = 81 Å³/cell
mass density = 9.7 g cm⁻³
spin magnetization = 0.00 Bohr magnetons per cell

Lattice parameters (Å, degrees): 4.861 4.861 4.861 60.00 60.00 60.00
Positions (direct):
Y 0.250 0.250 0.250
Y 0.750 0.750 0.750
Ir 0.500 0.500 0.500
Rh 0.000 0.000 0.000


What is the stability order? It is arrangement 2, arrangement 1, from most stable to least stable.